Density functional theory data (PBEsol) for a relaxed structure of K4YAs.

Computed properties:
The total energy comes out at -0.079 hartree per atom. Its total magnetization is 0.00 μB/cell. The formation energy from the elements comes out at 3.6 eV/f.u.

Unit cell a=6.9423 b=6.9423 c=6.9423 alpha=60.00 beta=60.00 gamma=60.00
Element x y z (fractional)
As 0.0000 0.0000 0.0000
K 0.3719 0.3719 0.3719
K 0.3719 0.3719 0.8844
K 0.8844 0.3719 0.3719
K 0.3719 0.8844 0.3719
Y 0.7500 0.7500 0.7500